1.
This record from Alexandria describes a relaxed BaRu3W crystal. The functional is PBE.

Properties
For the density, the calculation gives 9.20 g/cm3. As for the energy: -37.9 eV/cell. The magnetization comes out at 0.00 μB per atom. The value obtained for the formation energy is 0.962 eV/atom. The value obtained for the volume is 112.7 Å³ per cell. Its symmetry is Pm-3m, No. 221. Its energy above the most stable polymorph in this dataset is 0.0000 eV/atom.

abc: 4.8305 4.8305 4.8305
angles: 90.00 90.00 90.00
Fractional coordinates of all 5 atoms:
Ba 0.0000 0.0000 0.0000
Ru 0.0000 0.5000 0.5000
Ru 0.5000 0.0000 0.5000
Ru 0.5000 0.5000 0.0000
W 0.5000 0.5000 0.5000


2.
This record from Alexandria describes a relaxed BePbAu4 crystal. The functional is PBE.

Properties
For the density, the calculation gives 14.02 g/cm3. As for the energy: -41.7 eV/cell. The magnetization comes out at 0.00 μB per atom. The value obtained for the formation energy is -0.049 eV/atom. The value obtained for the volume is 237.8 Å³ per cell. Its symmetry is C2/c, No. 15. Its energy above the most stable polymorph in this dataset is 0.0238 eV/atom.

abc: 7.5859 7.5859 5.1791
angles: 95.36 95.36 53.34
Fractional coordinates of all 12 atoms:
Be 0.0000 0.5000 0.0000
Be 0.5000 0.0000 0.5000
Pb 0.1951 0.8049 0.7500
Pb 0.8049 0.1951 0.2500
Au 0.1265 0.2782 0.6009
Au 0.2782 0.1265 0.1009
Au 0.2952 0.4987 0.2034
Au 0.4987 0.2952 0.7034
Au 0.5013 0.7048 0.2966
Au 0.7048 0.5013 0.7966
Au 0.7218 0.8735 0.8991
Au 0.8735 0.7218 0.3991


Number 1: DOS at the Fermi energy 7.79 states/eV per cell. Number 2: DOS at the Fermi energy 2.61 states/eV per cell.